Density functional theory data (PBE) for a geometry-optimized K2GaTeO6 structure.

calculated volume: 279 Å³/cell
N(E_F): 5.9 states/eV/f.u.
formation energy without anion corrections: -1311 meV per atom

a = 10.104 Å, b = 10.104 Å, c = 10.104 Å
α = 33.44°, β = 33.44°, γ = 33.44°
Element x y z (fractional)
K (0.128, 0.128, 0.128)
K (0.280, 0.280, 0.280)
K (0.720, 0.720, 0.720)
K (0.872, 0.872, 0.872)
Ga (0.403, 0.403, 0.403)
Ga (0.597, 0.597, 0.597)
Te (0.000, 0.000, 0.000)
Te (0.500, 0.500, 0.500)
O (0.161, 0.604, 0.604)
O (0.198, 0.198, 0.723)
O (0.198, 0.723, 0.198)
O (0.277, 0.802, 0.802)
O (0.396, 0.396, 0.839)
O (0.396, 0.839, 0.396)
O (0.604, 0.161, 0.604)
O (0.604, 0.604, 0.161)
O (0.723, 0.198, 0.198)
O (0.802, 0.277, 0.802)
O (0.802, 0.802, 0.277)
O (0.839, 0.396, 0.396)